Ba3Co2N4 | PBE | optimized geometry

The space group is C2/c (No. 15) and the conventional cell measures 12.487, 9.498 and 5.502 Å, with angles of 90.00, 94.59 and 90.00 degrees. The distinct sites, in fractional coordinates, are Ba at (0.000, 0.125, 0.250), Ba at (0.151, 0.373, 0.586), Co at (0.198, 0.112, 0.915), N at (0.165, 0.291, 0.081) and N at (0.172, 0.039, 0.614).

The uncorrected formation energy comes out at -16 kJ/mol of atoms.


Y3US6 | PBE | optimized geometry

The space group is P2_1/m (No. 11) and the conventional cell measures 11.069, 3.935 and 11.294 Å, with angles of 90.00, 108.46 and 90.00 degrees. The distinct sites, in fractional coordinates, are Y at (0.069, 0.250, 0.167), Y at (0.180, 0.750, 0.502), Y at (0.340, 0.250, 0.917), U at (0.453, 0.250, 0.308), S at (0.021, 0.250, 0.386), S at (0.103, 0.250, 0.936), S at (0.246, 0.750, 0.277), S at (0.309, 0.750, 0.749), S at (0.388, 0.250, 0.538) and S at (0.418, 0.750, 0.100).

The uncorrected formation energy comes out at -183 kJ/mol of atoms. As for the energy above the most stable polymorph in this dataset: 0 meV per atom.


Sr2NpAuSe5 | PBE | optimized geometry

The space group is Cmc2_1 (No. 36) and the conventional cell measures 4.178, 18.286 and 12.882 Å, with angles of 90.00, 90.00 and 90.00 degrees. The distinct sites, in fractional coordinates, are Sr at (0.000, 0.115, 0.000), Sr at (0.000, 0.117, 0.635), Np at (0.000, 0.201, 0.326), Au at (0.000, 0.440, 0.741), Se at (0.000, 0.053, 0.359), Se at (0.000, 0.294, 0.974), Se at (0.000, 0.297, 0.676), Se at (0.000, 0.353, 0.319) and Se at (0.000, 0.497, 0.065).

The uncorrected formation energy comes out at -122 kJ/mol of atoms.


BeP2Os | PBE | optimized geometry

The space group is R-3m (No. 166, hexagonal axes) and the conventional cell measures 2.9495, 2.9495 and 20.2651 Å, with angles of 90.00, 90.00 and 120.00 degrees. The distinct sites, in fractional coordinates, are Be at (0.0000, 0.0000, 0.0000), P at (0.0000, 0.0000, 0.2552) and Os at (0.0000, 0.0000, 0.5000).

The formation energy is 0.124 eV per atom.


ZrSc2FeCu | PBE | optimized geometry

The space group is P4/mmm (No. 123) and the conventional cell measures 4.742, 4.742 and 4.937 Å, with angles of 90.00, 90.00 and 90.00 degrees. The distinct sites, in fractional coordinates, are Zr at (0.000, 0.000, 0.000), Sc at (0.000, 0.500, 0.500), Fe at (0.500, 0.500, 0.000) and Cu at (0.000, 0.000, 0.500).

The formation energy is 0.825 eV per atom.


Number 1: volume 18.07 Å³/atom. Number 2: volume 23.33 Å³/atom. Number 3: volume 27.34 Å³/atom. Number 4: volume 12.72 Å³/atom. Number 5: volume 22.21 Å³/atom.